Computed, not measured: a relaxed RbHfNb crystal at the PBE level of DFT.

## Properties
Relative energy among the computed polymorphs in meV per atom: 0
Mass density in g/cm³: 6.25
V in Å³ per atom: 31.61

a = 5.118 Å, b = 5.118 Å, c = 5.118 Å
α = 60.00°, β = 60.00°, γ = 60.00°
Fractional coordinates of all 3 atoms:
Hf 0.250 0.250 0.250
Nb 0.000 0.000 0.000
Rb 0.750 0.750 0.750